[1]
First-principles (PBE) data for crystalline PaVSi2Os at its relaxed geometry, as listed in the Alexandria database.

```
PaVSi2Os
1.0
4.0806 0.0000 0.0000
0.0000 4.0806 0.0000
-2.0403 -2.0403 5.0547
Pa Os Si V
1 1 2 1
Cartesian
0.0000 0.0000 0.0000
0.0000 2.0403 2.5274
2.0403 2.0403 1.1921
0.0000 0.0000 3.8627
2.0403 0.0000 2.5274
```

Properties
- calculated density (Mg/m³) = 10.4
- D(E_F) (states/eV per cell) = 6.0
- V (Å³/atom) = 16.834
- E (eV/atom) = -8.72

***

[2]
First-principles (PBE) data for crystalline Sm2PaOs2 at its relaxed geometry, as listed in the Alexandria database.

```
Sm2PaOs2
1.0
5.7532 0.0680 0.9085
2.5875 5.1389 0.9085
0.0473 0.0295 8.1307
Sm Os Pa
4 4 2
Cartesian
3.3474 1.1715 1.8548
5.8419 2.7288 4.0275
2.5461 2.5077 5.9201
5.0406 4.0650 8.0929
6.8234 5.2029 5.7019
1.5646 0.0336 4.2458
7.6471 3.8308 1.6365
0.7409 1.4057 8.3111
3.0126 4.4843 2.9412
5.3754 0.7522 7.0065
```

Properties
- calculated density (Mg/m³) = 12.7
- ΔH_f (0 K) (kJ/mol of formula units) = -136
- D(E_F) (states/eV per cell) = 8.5
- V (Å³/atom) = 23.865
- E (eV/atom) = -8.56

***

[3]
First-principles (PBE) data for crystalline SmPa2Os at its relaxed geometry, as listed in the Alexandria database.

```
SmPa2Os
1.0
3.6191 0.0000 0.0000
0.0000 3.6191 0.0000
0.0000 0.0000 7.6379
Pa Os Sm
2 1 1
Cartesian
0.0000 0.0000 1.4416
0.0000 0.0000 6.1963
1.8095 1.8095 0.0000
1.8095 1.8095 3.8189
```

Properties
- calculated density (Mg/m³) = 13.3
- ΔH_f (0 K) (kJ/mol of formula units) = 3
- D(E_F) (states/eV per cell) = 7.1
- V (Å³/atom) = 25.010
- E (eV/atom) = -8.73
- excess energy over the best structure of this formula in the dataset (kJ/mol of atoms) = 0.0

***

Total magnetization values, unit Bohr magnetons per cell, following the record order: 2.08; 0.00; 0.00.